No. 1
The following is a DFT calculation (PBE-GGA) of Tl3FeCl6 after structural relaxation.

Computed properties:
SG   Cmc2_1 (36)
Offset from the most stable computed form   0.0 meV/atom
DFT total energy   -3.616 eV per atom
Formation energy from raw total energies   -0.952 eV/atom
Crystal system   orthorhombic

a = 9.9423 Å, b = 9.9423 Å, c = 7.6827 Å
α = 90.00°, β = 90.00°, γ = 104.99°
Atoms (fractional coordinates):
Tl: 0.0959 0.9041 0.5000
Tl: 0.2068 0.3940 0.4735
Tl: 0.3940 0.2068 0.9735
Tl: 0.6060 0.7932 0.4735
Tl: 0.7932 0.6060 0.9735
Tl: 0.9041 0.0959 0.0000
Fe: 0.3088 0.6912 0.9119
Fe: 0.6912 0.3088 0.4119
Cl: 0.1012 0.6028 0.7945
Cl: 0.1504 0.1684 0.7343
Cl: 0.1684 0.1504 0.2343
Cl: 0.2951 0.7049 0.1967
Cl: 0.3972 0.8988 0.7945
Cl: 0.4446 0.5554 0.8320
Cl: 0.5554 0.4446 0.3320
Cl: 0.6028 0.1012 0.2945
Cl: 0.7049 0.2951 0.6967
Cl: 0.8316 0.8496 0.7343
Cl: 0.8496 0.8316 0.2343
Cl: 0.8988 0.3972 0.2945

---

No. 2
The following is a DFT calculation (PBE-GGA) of TlFe2Cl6 after structural relaxation.

Computed properties:
SG   C2/c (15)
DFT total energy   -4.204 eV per atom
Formation energy from raw total energies   -0.829 eV/atom
Crystal system   monoclinic
N(E_F)   7.96 states/eV per cell

a = 9.6916 Å, b = 9.6916 Å, c = 6.4177 Å
α = 95.82°, β = 95.82°, γ = 90.77°
Atoms (fractional coordinates):
Tl: 0.1306 0.8694 0.7500
Tl: 0.8694 0.1306 0.2500
Fe: 0.2203 0.3722 0.7448
Fe: 0.3722 0.2203 0.2448
Fe: 0.6278 0.7797 0.7552
Fe: 0.7797 0.6278 0.2552
Cl: 0.0522 0.2105 0.7033
Cl: 0.1729 0.5718 0.9089
Cl: 0.2105 0.0522 0.2033
Cl: 0.2823 0.4151 0.4147
Cl: 0.4151 0.2823 0.9147
Cl: 0.4282 0.8271 0.5911
Cl: 0.5718 0.1729 0.4089
Cl: 0.5849 0.7177 0.0853
Cl: 0.7177 0.5849 0.5853
Cl: 0.7895 0.9478 0.7967
Cl: 0.8271 0.4282 0.0911
Cl: 0.9478 0.7895 0.2967

---

No. 3
The following is a DFT calculation (PBE-GGA) of TlFe2Cl7 after structural relaxation.

Computed properties:
SG   Cmmm (65)
DFT total energy   -3.910 eV per atom
Formation energy from raw total energies   -0.688 eV/atom
Crystal system   orthorhombic
N(E_F)   4.46 states/eV per cell

a = 10.0752 Å, b = 10.0752 Å, c = 3.9286 Å
α = 90.00°, β = 90.00°, γ = 134.26°
Atoms (fractional coordinates):
Tl: 0.0000 0.0000 0.0000
Fe: 0.3709 0.6291 0.5000
Fe: 0.6291 0.3709 0.5000
Cl: 0.0922 0.3340 0.5000
Cl: 0.2996 0.7004 0.0000
Cl: 0.3340 0.0922 0.5000
Cl: 0.5000 0.5000 0.5000
Cl: 0.6660 0.9078 0.5000
Cl: 0.7004 0.2996 0.0000
Cl: 0.9078 0.6660 0.5000

---

No. 4
The following is a DFT calculation (PBE-GGA) of TlFe3Cl8 after structural relaxation.

Computed properties:
SG   C2/m (12)
DFT total energy   -4.322 eV per atom
Formation energy from raw total energies   -0.778 eV/atom
Crystal system   monoclinic
N(E_F)   12.04 states/eV per cell

a = 6.3115 Å, b = 6.3115 Å, c = 9.2599 Å
α = 93.98°, β = 93.98°, γ = 68.59°
Atoms (fractional coordinates):
Tl: 0.0000 0.0000 0.0000
Fe: 0.0000 0.0000 0.5000
Fe: 0.3759 0.3759 0.7054
Fe: 0.6241 0.6241 0.2946
Cl: 0.2335 0.2335 0.5092
Cl: 0.2344 0.7481 0.3052
Cl: 0.2519 0.7656 0.6948
Cl: 0.3042 0.3042 0.9228
Cl: 0.6958 0.6958 0.0772
Cl: 0.7481 0.2344 0.3052
Cl: 0.7656 0.2519 0.6948
Cl: 0.7665 0.7665 0.4908